1.
5
Lattice="5.596 0.000 0.000 0.000 5.596 0.000 0.000 0.000 4.825" Properties=species:S:1:pos:R:3 comment="Y2InFeIr PBE optimized geometry" crystal_system=tetragonal final_energy_ev_per_atom=-5.51 delta_e_f_ev_per_atom=1.085 pbc="T T T"
Y 0.000 2.798 0.000
Y 2.798 0.000 0.000
In 0.000 0.000 0.000
Fe 2.798 2.798 2.412
Ir 0.000 0.000 2.412


2.
4
Lattice="0.000 3.211 3.211 3.211 0.000 3.211 3.211 3.211 0.000" Properties=species:S:1:pos:R:3 comment="ZrInFeIr PBE optimized geometry" crystal_system=cubic final_energy_ev_per_atom=-7.49 delta_e_f_ev_per_atom=-0.333 pbc="T T T"
Zr 0.000 0.000 0.000
In 3.211 3.211 3.211
Fe 1.606 1.606 1.606
Ir 4.817 4.817 4.817


3.
4
Lattice="4.752 0.000 0.000 0.000 4.752 0.000 0.000 0.000 4.552" Properties=species:S:1:pos:R:3 comment="KIn2Fe PBE optimized geometry" crystal_system=tetragonal final_energy_ev_per_atom=-3.15 delta_e_f_ev_per_atom=0.614 pbc="T T T"
K 0.000 0.000 0.000
In 0.000 2.376 2.276
In 2.376 0.000 2.276
Fe 2.376 2.376 0.000


4.
3
Lattice="-1.849 1.849 6.366 1.849 -1.849 6.366 1.849 1.849 -6.366" Properties=species:S:1:pos:R:3 comment="KInFe PBE optimized geometry" crystal_system=tetragonal final_energy_ev_per_atom=-3.62 delta_e_f_ev_per_atom=0.483 pbc="T T T"
K 0.000 0.000 0.000
In 0.000 0.000 9.326
Fe 0.000 0.000 3.345


5.
4
Lattice="4.008 -2.322 0.000 4.008 2.322 0.000 -2.646 0.000 9.041" Properties=species:S:1:pos:R:3 comment="K2InFe PBE optimized geometry" crystal_system=monoclinic final_energy_ev_per_atom=-2.92 delta_e_f_ev_per_atom=0.426 pbc="T T T"
K 0.000 0.000 0.000
K -0.009 0.000 4.922
In 5.337 0.000 2.462
Fe 2.660 0.000 2.463


6.
4
Lattice="0.000 3.696 3.696 3.696 0.000 3.696 3.696 3.696 0.000" Properties=species:S:1:pos:R:3 comment="KIn2Fe PBE optimized geometry" crystal_system=cubic final_energy_ev_per_atom=-3.14 delta_e_f_ev_per_atom=0.615 pbc="T T T"
K 0.000 0.000 0.000
In 1.848 1.848 1.848
In 3.696 3.696 3.696
Fe 5.544 5.544 5.544


7.
4
Lattice="5.534 0.000 0.000 0.000 5.534 0.000 0.000 0.000 3.268" Properties=species:S:1:pos:R:3 comment="KIn2Fe PBE optimized geometry" crystal_system=tetragonal final_energy_ev_per_atom=-3.14 delta_e_f_ev_per_atom=0.615 pbc="T T T"
K 0.000 0.000 0.000
In 0.000 2.767 1.634
In 2.767 0.000 1.634
Fe 2.767 2.767 0.000


8.
4
Lattice="-1.540 2.965 5.711 1.540 -2.965 5.711 1.540 2.965 -5.711" Properties=species:S:1:pos:R:3 comment="KIn2Fe PBE optimized geometry" crystal_system=orthorhombic final_energy_ev_per_atom=-3.33 delta_e_f_ev_per_atom=0.426 pbc="T T T"
K 0.000 0.000 0.000
In 1.540 0.000 3.418
In 0.000 2.965 2.293
Fe 0.000 0.000 5.711